Entry from Alexandria via LeMat-Bulk: Sr3Fe2O8 after structural relaxation (GGA+U).

Unit cell a=5.5582 b=5.5582 c=7.6429 alpha=68.68 beta=68.68 gamma=60.00
Each line ends with the local moment (μB).
Positions (direct):
Sr 0.0000 0.0000 0.0000  0.01
Sr 0.7937 0.7937 0.6188  0.01
Sr 0.2063 0.2063 0.3812  0.01
Fe 0.5939 0.5939 0.2184  3.25
Fe 0.4061 0.4061 0.7816  3.25
O 0.6773 0.6773 0.9680  -0.02
O 0.3227 0.3227 0.0320  -0.02
O 0.2215 0.7359 0.3067  -0.09
O 0.7359 0.2215 0.3067  -0.09
O 0.7359 0.7359 0.3067  -0.09
O 0.2641 0.7785 0.6933  -0.09
O 0.7785 0.2641 0.6933  -0.09
O 0.2641 0.2641 0.6933  -0.09

Values from the calculation:
Theoretical density in Mg/m³: 4.50
Uncorrected energy in eV per formula unit: -78.7